{
  "formula": "Ca3Zr",
  "functional": "PBE-GGA",
  "state": "relaxed",
  "total_energy_ev_per_atom": -3.286,
  "e_form_mev_per_atom": 352,
  "polymorph_energy_mev_per_atom": 95,
  "spacegroup": "Immm",
  "lattice": [[-5.078, 0.891, -4.754], [-5.722, -4.038, 0.357], [4.150, 4.829, 2.939]],
  "species": ["Ca", "Ca", "Ca", "Zr"],
  "fractional_positions": [[0.015, 0.015, 0.000], [0.485, 0.485, 0.000], [0.750, 0.250, 0.500], [0.250, 0.750, 0.500]]
}